Below is a relaxed structure of CePaFe2O8, with properties calculated at the PBE with a Hubbard U level.

Unit cell a=6.016 b=6.016 c=6.016 alpha=108.32 beta=108.32 gamma=111.80
Last column: magnetic moment on the atom in μB.
Fractional positions:
Ce1 0.000 0.000 0.000  0.13
Pa1 0.250 0.750 0.500  0.14
Fe1 0.750 0.250 0.500  4.05
Fe2 0.500 0.500 0.000  4.16
O1 0.370 0.054 0.315  0.02
O2 0.310 0.504 0.194  0.05
O3 0.310 0.116 0.806  0.05
O4 0.739 0.054 0.685  0.02
O5 0.884 0.690 0.194  0.05
O6 0.946 0.261 0.315  0.02
O7 0.946 0.630 0.685  0.02
O8 0.496 0.690 0.806  0.05

Values from the calculation:
Calculated volume ... 13.949 A^3/atom
DFT total energy ... -7.93 eV/atom